[1]
VASP calculation (PBE-GGA) on a geometry-optimized PrY3Th2N6 structure.

Computed properties:
volume	195	Å³/cell
DOS at the Fermi energy	0.228	states/eV/atom
DFT total energy	-0.3308	Ha/atom

Lattice parameters (Å, degrees): 3.586 7.159 7.990 102.79 102.97 90.00
Atoms (fractional coordinates):
Pr  0.500  0.000  0.000
Y  0.500  0.500  0.000
Y  0.835  0.166  0.669
Y  0.165  0.834  0.331
Th  0.835  0.670  0.669
Th  0.165  0.330  0.331
N  0.329  0.914  0.658
N  0.667  0.584  0.333
N  0.671  0.086  0.342
N  0.001  0.262  0.003
N  0.999  0.738  0.997
N  0.333  0.416  0.667

[2]
VASP calculation (PBE-GGA) on a geometry-optimized Pr2YThN4 structure.

Computed properties:
volume	136	Å³/cell
DOS at the Fermi energy	0.233	states/eV/atom
DFT total energy	-0.3156	Ha/atom

Lattice parameters (Å, degrees): 3.638 6.266 6.305 109.27 90.00 90.00
Atoms (fractional coordinates):
Pr  0.500  0.000  0.500
Pr  0.000  0.500  0.500
Y  0.000  0.000  0.000
Th  0.500  0.500  0.000
N  0.500  0.247  0.235
N  0.500  0.753  0.765
N  0.000  0.255  0.766
N  0.000  0.745  0.234

[3]
VASP calculation (PBE-GGA) on a geometry-optimized Pr4YTh3N8 structure.

Computed properties:
volume	276	Å³/cell
DOS at the Fermi energy	0.166	states/eV/atom
DFT total energy	-0.3180	Ha/atom

Lattice parameters (Å, degrees): 7.308 7.317 7.308 119.96 120.00 90.00
Atoms (fractional coordinates):
Pr  0.500  0.000  0.000
Pr  0.500  0.000  0.500
Pr  0.000  0.000  0.000
Pr  0.000  0.000  0.500
Y  0.000  0.500  0.000
Th  0.500  0.500  0.000
Th  0.500  0.500  0.500
Th  0.000  0.500  0.500
N  0.245  0.732  0.988
N  0.245  0.732  0.489
N  0.256  0.267  0.512
N  0.743  0.732  0.988
N  0.257  0.268  0.012
N  0.744  0.733  0.488
N  0.755  0.268  0.511
N  0.755  0.268  0.012

[4]
VASP calculation (PBE-GGA) on a geometry-optimized PrThZnN3 structure.

Computed properties:
volume	198	Å³/cell
DFT total energy	-0.2705	Ha/atom

Lattice parameters (Å, degrees): 3.563 7.625 7.362 97.67 90.00 90.00
Atoms (fractional coordinates):
Pr  0.250  0.172  0.201
Pr  0.750  0.828  0.799
Th  0.250  0.644  0.183
Th  0.750  0.356  0.817
Zn  0.250  0.091  0.592
Zn  0.750  0.909  0.408
N  0.750  0.860  0.135
N  0.250  0.140  0.865
N  0.250  0.815  0.520
N  0.750  0.185  0.480
N  0.750  0.417  0.141
N  0.250  0.583  0.859

[5]
VASP calculation (PBE-GGA) on a geometry-optimized PrTh2ZrN4 structure.

Computed properties:
volume	128	Å³/cell
DOS at the Fermi energy	0.329	states/eV/atom
DFT total energy	-0.3368	Ha/atom

Lattice parameters (Å, degrees): 3.551 6.208 6.161 109.20 90.00 90.00
Atoms (fractional coordinates):
Pr  0.500  0.500  0.000
Th  0.500  0.000  0.500
Th  0.000  0.500  0.500
Zr  0.000  0.000  0.000
N  0.500  0.226  0.235
N  0.500  0.774  0.765
N  0.000  0.227  0.753
N  0.000  0.773  0.247

[6]
VASP calculation (PBE-GGA) on a geometry-optimized PrTi2N structure.

Computed properties:
volume	71	Å³/cell
DOS at the Fermi energy	0.744	states/eV/atom
DFT total energy	-0.2886	Ha/atom

Lattice parameters (Å, degrees): 3.119 3.119 8.619 79.58 79.58 60.00
Atoms (fractional coordinates):
Pr  0.000  0.000  0.000
N  0.500  0.500  0.500
Ti  0.124  0.124  0.628
Ti  0.876  0.876  0.372

Repeat the fifth record exactly.
VASP calculation (PBE-GGA) on a geometry-optimized PrTh2ZrN4 structure.

Computed properties:
volume	128	Å³/cell
DOS at the Fermi energy	0.329	states/eV/atom
DFT total energy	-0.3368	Ha/atom

Lattice parameters (Å, degrees): 3.551 6.208 6.161 109.20 90.00 90.00
Atoms (fractional coordinates):
Pr  0.500  0.500  0.000
Th  0.500  0.000  0.500
Th  0.000  0.500  0.500
Zr  0.000  0.000  0.000
N  0.500  0.226  0.235
N  0.500  0.774  0.765
N  0.000  0.227  0.753
N  0.000  0.773  0.247